VAuO2 | PBE with a Hubbard U | optimized geometry

Final energy in hartree per atom: -0.239
D(E_F) in states/eV per atom: 0.22

abc: 14.2417 3.0731 2.9600
angles: 121.69 83.26 96.23
Each line ends with the local moment (μB).
Sites, in units of the cell vectors:
Au 0.5123 0.9011 0.2387  -0.01
Au 0.3504 0.5141 0.6224  -0.01
O 0.0442 0.7763 0.4315  -0.06
O 0.6779 0.9572 0.1840  -0.05
O 0.8185 0.3525 0.8149  -0.06
O 0.1847 0.4657 0.6876  -0.05
V 0.7528 0.6515 0.4940  1.34
V 0.1099 0.1152 0.0579  1.34